# 1
Material: FePRh3
Method: DFT, PBE
State: relaxed

Calculated values
- formation energy from the elements (eV per atom) = 1.216
- E above lowest polymorph (eV per atom) = 1.017
- DFT total energy (eV for the cell shown) = -29.85

Cell and atoms, written as CIF:
```
data_FePRh3
_chemical_formula_sum 'Fe1 P1 Rh3'
_space_group_name_H-M_alt 'P m -3 m'
_space_group_IT_number 221
_space_group_name_Hall '-P 4 2 3'
_cell_length_a 4.445
_cell_length_b 4.445
_cell_length_c 4.445
_cell_angle_alpha 90.00
_cell_angle_beta 90.00
_cell_angle_gamma 90.00
loop_
_atom_site_label
_atom_site_type_symbol
_atom_site_fract_x
_atom_site_fract_y
_atom_site_fract_z
Fe1 Fe 0.000 0.000 0.000
P1 P 0.500 0.500 0.500
Rh1 Rh 0.000 0.000 0.500
```

# 2
Material: FeP2Rh
Method: DFT, PBE
State: relaxed

Calculated values
- formation energy from the elements (eV per atom) = -0.168
- E above lowest polymorph (eV per atom) = 0.211
- DFT total energy (eV for the cell shown) = -27.31

Cell and atoms, written as CIF:
```
data_FeP2Rh
_chemical_formula_sum 'Fe1 P2 Rh1'
_space_group_name_H-M_alt 'P 4/m m m'
_space_group_IT_number 123
_space_group_name_Hall '-P 4 2'
_cell_length_a 2.908
_cell_length_b 2.908
_cell_length_c 5.813
_cell_angle_alpha 90.00
_cell_angle_beta 90.00
_cell_angle_gamma 90.00
loop_
_atom_site_label
_atom_site_type_symbol
_atom_site_fract_x
_atom_site_fract_y
_atom_site_fract_z
Fe1 Fe 0.000 0.000 0.000
P1 P 0.500 0.500 0.228
Rh1 Rh 0.000 0.000 0.500
```

# 3
Material: Sm2FeP3Rh12
Method: DFT, PBE
State: relaxed

Calculated values
- formation energy from the elements (eV per atom) = -0.192
- DFT total energy (eV for the cell shown) = -377.43

Cell and atoms, written as CIF:
```
data_Sm2FeP3Rh12
_chemical_formula_sum 'Sm6 Fe3 P9 Rh36'
_space_group_name_H-M_alt 'R -3 m'
_space_group_IT_number 166
_space_group_name_Hall '-R 3 2"'
_cell_length_a 8.4341
_cell_length_b 8.4341
_cell_length_c 15.1732
_cell_angle_alpha 90.00
_cell_angle_beta 90.00
_cell_angle_gamma 120.00
loop_
_atom_site_label
_atom_site_type_symbol
_atom_site_fract_x
_atom_site_fract_y
_atom_site_fract_z
Sm1 Sm 0.0000 0.0000 0.1070
Fe1 Fe 0.0000 0.0000 0.5000
P1 P 0.0000 0.5000 0.0000
Rh1 Rh 0.0031 0.5015 0.8552
Rh2 Rh 0.0532 0.5266 0.3596
```

# 4
Material: ThFeP2Rh5
Method: DFT, PBE
State: relaxed

Calculated values
- formation energy from the elements (eV per atom) = -0.354
- DFT total energy (eV for the cell shown) = -66.65

Cell and atoms, written as CIF:
```
data_ThFeP2Rh5
_chemical_formula_sum 'Th1 Fe1 P2 Rh5'
_space_group_name_H-M_alt 'P 4/m m m'
_space_group_IT_number 123
_space_group_name_Hall '-P 4 2'
_cell_length_a 4.128
_cell_length_b 4.128
_cell_length_c 10.584
_cell_angle_alpha 90.00
_cell_angle_beta 90.00
_cell_angle_gamma 90.00
loop_
_atom_site_label
_atom_site_type_symbol
_atom_site_fract_x
_atom_site_fract_y
_atom_site_fract_z
Th1 Th 0.000 0.000 0.000
Fe1 Fe 0.500 0.500 0.500
P1 P 0.500 0.500 0.294
Rh1 Rh 0.000 0.500 0.203
Rh2 Rh 0.500 0.500 0.000
```

# 5
Material: YFeP2Rh5
Method: DFT, PBE
State: relaxed

Calculated values
- formation energy from the elements (eV per atom) = -0.254
- DFT total energy (eV for the cell shown) = -64.79

Cell and atoms, written as CIF:
```
data_YFeP2Rh5
_chemical_formula_sum 'Y1 Fe1 P2 Rh5'
_space_group_name_H-M_alt 'P 4/m m m'
_space_group_IT_number 123
_space_group_name_Hall '-P 4 2'
_cell_length_a 4.369
_cell_length_b 4.369
_cell_length_c 9.114
_cell_angle_alpha 90.00
_cell_angle_beta 90.00
_cell_angle_gamma 90.00
loop_
_atom_site_label
_atom_site_type_symbol
_atom_site_fract_x
_atom_site_fract_y
_atom_site_fract_z
Y1 Y 0.000 0.000 0.000
Fe1 Fe 0.500 0.500 0.500
P1 P 0.500 0.500 0.263
Rh1 Rh 0.000 0.500 0.219
Rh2 Rh 0.500 0.500 0.000
```

# 6
Material: YFe2PRh
Method: DFT, PBE
State: relaxed

Calculated values
- formation energy from the elements (eV per atom) = 0.610
- DFT total energy (eV for the cell shown) = -33.10

Cell and atoms, written as CIF:
```
data_YFe2PRh
_chemical_formula_sum 'Y1 Fe2 P1 Rh1'
_space_group_name_H-M_alt 'P 4/m m m'
_space_group_IT_number 123
_space_group_name_Hall '-P 4 2'
_cell_length_a 4.564
_cell_length_b 4.564
_cell_length_c 5.320
_cell_angle_alpha 90.00
_cell_angle_beta 90.00
_cell_angle_gamma 90.00
loop_
_atom_site_label
_atom_site_type_symbol
_atom_site_fract_x
_atom_site_fract_y
_atom_site_fract_z
Y1 Y 0.000 0.000 0.000
Fe1 Fe 0.000 0.500 0.500
P1 P 0.500 0.500 0.000
Rh1 Rh 0.000 0.000 0.500
```

What is the formula in the first record?
FePRh3